Entry 1:
! Na3Cd5 PBE-GGA relaxed; values from VASP
! Fermi-level density of states	5.31	states/eV/f.u.
! total magnetic moment	0.00	μB/cell
! mass density	4.8	g/cm3
! excess energy over the best structure of this formula in the dataset	25.2	meV/atom
! space-group type	P-62m, No. 189
! crystal system	hexagonal
! formation enthalpy at 0 K	-0.05	eV per atom
&SYSTEM
  ibrav = 0, nat = 8, ntyp = 2
/
ATOMIC_SPECIES
Na 22.99 Na.upf
Cd 112.41 Cd.upf
CELL_PARAMETERS angstrom
7.533 0.000 0.000
-3.766 6.524 0.000
0.000 0.000 4.404
ATOMIC_POSITIONS crystal
Na 0.000 0.612 0.000
Na 0.388 0.388 0.000
Na 0.612 0.000 0.000
Cd 0.000 0.232 0.500
Cd 0.232 0.000 0.500
Cd 0.333 0.667 0.500
Cd 0.667 0.333 0.500
Cd 0.768 0.768 0.500

Entry 2:
! Na3Cd4 PBE-GGA relaxed; values from VASP
! Fermi-level density of states	2.39	states/eV/f.u.
! total magnetic moment	0.00	μB/cell
! mass density	4.9	g/cm3
! space-group type	Immm, No. 71
! crystal system	orthorhombic
! formation enthalpy at 0 K	-0.07	eV per atom
&SYSTEM
  ibrav = 0, nat = 14, ntyp = 2
/
ATOMIC_SPECIES
Na 22.99 Na.upf
Cd 112.41 Cd.upf
CELL_PARAMETERS angstrom
3.225 0.000 0.000
0.000 4.846 0.000
0.000 0.000 22.520
ATOMIC_POSITIONS crystal
Na 0.000 0.000 0.000
Na 0.000 0.000 0.144
Na 0.000 0.000 0.856
Na 0.500 0.500 0.356
Na 0.500 0.500 0.500
Na 0.500 0.500 0.644
Cd 0.000 0.000 0.284
Cd 0.000 0.000 0.428
Cd 0.000 0.000 0.572
Cd 0.000 0.000 0.716
Cd 0.500 0.500 0.072
Cd 0.500 0.500 0.216
Cd 0.500 0.500 0.784
Cd 0.500 0.500 0.928

Question: Which value of mass density does entry 1 give?
Answer: 4.8 g/cm3